First-principles (PBE) data for a geometry-optimized Ca2ZrTl3Se6 structure, as listed in Alexandria via LeMat-Bulk.

Properties
Uncorrected energy   -4.521 eV/atom
Symmetry   C2/m
Energy relative to the elements, uncorrected   -110 kJ/mol of atoms

a b c (Å): 7.295 7.295 7.789
angles (deg): 99.07 99.07 119.97
Fractional positions:
Ca 0.165 0.835 0.000
Ca 0.835 0.165 0.000
Zr 0.500 0.500 0.000
Tl 0.000 0.000 0.500
Tl 0.331 0.669 0.500
Tl 0.669 0.331 0.500
Se 0.121 0.430 0.792
Se 0.264 0.264 0.214
Se 0.430 0.121 0.792
Se 0.570 0.879 0.208
Se 0.736 0.736 0.786
Se 0.879 0.570 0.208